Entry 1:
5
Lattice="-2.795 -4.378 -0.189 3.227 -1.905 -3.601 2.917 -2.021 3.684" Properties=species:S:1:pos:R:3 comment="NaTePS2 | the Alexandria database | PBE | optimized geometry" dos_at_fermi_per_ev_atom=0.536 spacegroup=P4/mmm density_g_cm3=2.95 formation_energy_uncorrected_mev_per_atom=336 pbc="T T T"
P 1.458 -1.010 1.842
S 1.614 -0.953 -1.800
S -1.397 -2.189 -0.094
Te 0.000 0.000 0.000
Na 1.675 -4.152 -0.053


Entry 2:
12
Lattice="6.011 0.000 0.000 3.005 5.206 0.000 3.005 1.735 9.316" Properties=species:S:1:pos:R:3 comment="NaTeP2S8 | the Alexandria database | PBE | optimized geometry" dos_at_fermi_per_ev_atom=0.657 spacegroup=R-3 density_g_cm3=2.67 formation_energy_uncorrected_mev_per_atom=-123 pbc="T T T"
Na 6.011 3.470 4.658
Te 0.000 0.000 0.000
P 3.005 1.735 2.236
P 9.016 5.206 7.079
S 3.005 1.735 4.230
S 4.991 1.865 1.650
S 9.016 5.206 5.086
S 7.911 3.390 1.650
S 4.111 3.551 7.666
S 5.131 5.156 1.650
S 6.891 1.785 7.666
S 7.030 5.076 7.666


Entry 3:
9
Lattice="6.104 0.000 0.000 3.052 5.286 0.000 0.000 0.000 6.559" Properties=species:S:1:pos:R:3 comment="NaTePS6 | the Alexandria database | PBE | optimized geometry" dos_at_fermi_per_ev_atom=0.603 spacegroup=P312 density_g_cm3=2.93 formation_energy_uncorrected_mev_per_atom=-26 pbc="T T T"
Na 9.156 5.286 6.559
Te 6.104 3.524 3.279
P 3.052 1.762 3.279
S 1.310 1.879 1.879
S 2.283 0.194 4.680
S 4.795 1.880 4.680
S 2.079 3.212 4.680
S 4.025 3.212 1.879
S 3.822 0.194 1.879


Entry 4:
5
Lattice="4.854 0.000 0.000 0.000 4.854 0.000 0.000 0.000 4.961" Properties=species:S:1:pos:R:3 comment="NaTePS2 | the Alexandria database | PBE | optimized geometry" dos_at_fermi_per_ev_atom=1.198 spacegroup=P4/mmm density_g_cm3=3.49 formation_energy_uncorrected_mev_per_atom=1078 pbc="T T T"
P 0.000 0.000 2.480
S 0.000 2.427 0.000
S 2.427 0.000 0.000
Te 2.427 2.427 2.480
Na 0.000 0.000 0.000


Entry 5:
5
Lattice="4.729 0.000 0.000 0.000 4.729 0.000 0.000 0.000 4.727" Properties=species:S:1:pos:R:3 comment="NaTiP2S | the Alexandria database | PBE | optimized geometry" dos_at_fermi_per_ev_atom=1.349 spacegroup=P4/mmm density_g_cm3=2.59 formation_energy_uncorrected_mev_per_atom=1135 pbc="T T T"
P 0.000 2.364 0.000
P 2.364 0.000 0.000
S 0.000 0.000 2.364
Na 0.000 0.000 0.000
Ti 2.364 2.364 2.364


Entry 6:
5
Lattice="-1.110 -1.112 -4.476 3.337 -3.372 0.010 -3.216 -3.178 1.587" Properties=species:S:1:pos:R:3 comment="NaTiP2S | the Alexandria database | PBE | optimized geometry" dos_at_fermi_per_ev_atom=0.641 spacegroup=P4/mmm density_g_cm3=2.54 formation_energy_uncorrected_mev_per_atom=-291 pbc="T T T"
P 1.668 -1.686 0.005
P -0.555 -0.556 -2.238
S -1.608 -1.589 0.794
Na -0.495 -3.831 -1.439
Ti 0.000 0.000 0.000


Entry 7:
5
Lattice="-4.944 1.097 -3.168 -2.445 -2.411 2.981 -0.960 4.945 3.211" Properties=species:S:1:pos:R:3 comment="Na2TiPS | the Alexandria database | PBE | optimized geometry" dos_at_fermi_per_ev_atom=1.688 spacegroup=P4/mmm density_g_cm3=1.61 formation_energy_uncorrected_mev_per_atom=514 pbc="T T T"
P -1.223 -1.205 1.491
S -4.175 1.815 1.512
Na -0.480 2.472 1.605
Na -2.472 0.549 -1.584
Ti 0.000 0.000 0.000


Entry 8:
12
Lattice="-1.260 0.315 5.824 2.618 -4.878 -2.227 7.756 3.483 1.489" Properties=species:S:1:pos:R:3 comment="NaTiP2S8 | the Alexandria database | PBE | optimized geometry" dos_at_fermi_per_ev_atom=0.689 spacegroup=P-3 density_g_cm3=2.43 formation_energy_uncorrected_mev_per_atom=-446 pbc="T T T"
Na 0.000 0.000 0.000
Ti 3.878 1.742 0.745
P 2.130 -0.474 3.543
P 6.984 -0.606 1.544
S 8.797 0.209 1.892
S 3.055 -0.347 1.689
S 4.377 -3.494 2.165
S 0.317 -1.288 3.195
S 4.737 2.414 2.922
S 6.059 -0.733 3.398
S 4.761 1.014 6.071
S 4.353 -2.093 -0.984


Entry 9:
12
Lattice="7.112 0.040 1.083 3.369 6.264 1.083 4.185 2.517 7.860" Properties=species:S:1:pos:R:3 comment="NaTlPS3 | the Alexandria database | PBE | optimized geometry" dos_at_fermi_per_ev_atom=0.000 spacegroup=C2/m density_g_cm3=3.79 formation_energy_uncorrected_mev_per_atom=-542 pbc="T T T"
Na 6.421 5.926 5.013
Na 8.244 2.896 5.013
Tl 10.209 6.141 7.239
Tl 4.456 2.680 2.786
P 3.960 2.382 6.751
P 10.705 6.440 3.275
S 5.460 3.285 5.693
S 7.256 6.631 7.582
S 9.258 3.303 7.582
S 5.407 5.519 2.443
S 7.410 2.191 2.443
S 9.205 5.537 4.332


Entry 10:
12
Lattice="6.097 0.000 0.000 3.049 5.280 0.000 3.049 1.760 8.793" Properties=species:S:1:pos:R:3 comment="NaTmP2S8 | the Alexandria database | PBE | optimized geometry" dos_at_fermi_per_ev_atom=0.688 spacegroup=R-3 density_g_cm3=2.99 formation_energy_uncorrected_mev_per_atom=-522 pbc="T T T"
Na 6.097 3.520 4.396
Tm 0.000 0.000 0.000
P 3.049 1.760 2.152
P 9.146 5.280 6.641
S 3.049 1.760 4.192
S 5.013 1.945 1.586
S 9.146 5.280 4.600
S 8.003 3.369 1.586
S 4.191 3.671 7.207
S 5.275 5.246 1.586
S 6.919 1.794 7.207
S 7.181 5.095 7.207


Entry 11:
12
Lattice="-0.636 5.022 3.435 -3.733 4.495 -1.814 -8.452 -0.810 5.068" Properties=species:S:1:pos:R:3 comment="NaUP2S8 | the Alexandria database | PBE | optimized geometry" dos_at_fermi_per_ev_atom=0.178 spacegroup=R-3 density_g_cm3=3.21 formation_energy_uncorrected_mev_per_atom=-527 pbc="T T T"
Na -6.410 4.354 3.345
U 0.000 0.000 0.000
P -3.184 2.189 1.659
P -9.636 6.519 5.031
S -4.669 1.343 2.620
S -2.887 4.144 2.354
S -8.152 7.364 4.070
S -4.232 7.287 3.040
S -8.589 1.420 3.650
S -5.150 5.594 0.133
S -7.671 3.113 6.556
S -9.934 4.563 4.335


Entry 12:
5
Lattice="-2.126 0.816 4.154 -3.828 -2.354 -1.497 1.820 -4.058 1.728" Properties=species:S:1:pos:R:3 comment="NaVP2S | the Alexandria database | PBE | optimized geometry" dos_at_fermi_per_ev_atom=1.397 spacegroup=P4/mmm density_g_cm3=2.60 formation_energy_uncorrected_mev_per_atom=1382 pbc="T T T"
P -1.914 -1.177 -0.749
P -1.063 0.408 2.077
S 0.910 -2.029 0.864
Na 0.000 0.000 0.000
V -2.067 -2.798 2.192


Across the entries above, uncorrected energy takes the values -16.44, -49.77, -34.87, -12.74, -18.48, -25.61, -17.50, -58.40, -49.46, -55.90, -62.77, -18.48 eV/cell, respectively.
Across the entries above, V takes the values 27.63, 24.29, 23.52, 23.37, 21.14, 21.57, 32.45, 22.18, 25.89, 23.59, 24.95, 21.41 Å³ per atom, respectively.